(1)
The following is a DFT calculation (PBE) of crystalline Rb2SrIr at its relaxed geometry.

Computed properties:
For the magnetization, the calculation gives 1.0 μB per formula unit. The value obtained for the density of states at the Fermi level is 2.08 states/eV/atom. The energy relative to the elements comes out at 4.957 eV/f.u. The excess energy over the best structure of this formula in the dataset is 1.45 eV per formula unit. The value obtained for the electronic total energy is -30.08 eV per cell.

a b c (Å): 9.546 9.546 13.673
angles (deg): 90.00 90.00 90.00
Space group I-42d (No. 122)
One atom of each set of equivalent atoms:
Rb: 0.001 0.750 0.125
Sr: 0.000 0.000 0.500
Ir: 0.000 0.000 0.000

(2)
The following is a DFT calculation (PBE) of crystalline Rb2SrIr at its relaxed geometry.

Computed properties:
For the magnetization, the calculation gives 0.0 μB per formula unit. The value obtained for the density of states at the Fermi level is 0.96 states/eV/atom. The energy relative to the elements comes out at 3.510 eV/f.u. The excess energy over the best structure of this formula in the dataset is 0.00 eV per formula unit. The value obtained for the electronic total energy is -35.87 eV per cell.

a b c (Å): 8.195 8.195 8.195
angles (deg): 90.00 90.00 90.00
Space group Fm-3m (No. 225)
One atom of each set of equivalent atoms:
Rb: 0.250 0.250 0.250
Sr: 0.000 0.000 0.000
Ir: 0.000 0.000 0.500

(3)
The following is a DFT calculation (PBE) of crystalline Rb2SrTeIr at its relaxed geometry.

Computed properties:
Its formation energy (no corrections) is 0.86 eV/atom. For the magnetization, the calculation gives 2.7 μB per formula unit. The value obtained for the density of states at the Fermi level is 0.52 states/eV/atom. The value obtained for the electronic total energy is -11.30 eV per cell.

a b c (Å): 7.764 7.764 5.918
angles (deg): 90.00 90.00 90.00
Space group P4/mmm (No. 123)
One atom of each set of equivalent atoms:
Rb: 0.000 0.500 0.000
Sr: 0.000 0.000 0.000
Te: 0.000 0.000 0.500
Ir: 0.500 0.500 0.500

(4)
The following is a DFT calculation (PBE) of crystalline RbSr2TeIr at its relaxed geometry.

Computed properties:
Its formation energy (no corrections) is -0.25 eV/atom. For the magnetization, the calculation gives 0.0 μB per formula unit. The value obtained for the density of states at the Fermi level is 0.74 states/eV/atom. The value obtained for the electronic total energy is -17.58 eV per cell.

a b c (Å): 5.880 5.880 5.464
angles (deg): 90.00 90.00 90.00
Space group P4/mmm (No. 123)
One atom of each set of equivalent atoms:
Rb: 0.000 0.000 0.000
Sr: 0.000 0.500 0.500
Te: 0.500 0.500 0.000
Ir: 0.500 0.500 0.500

(5)
The following is a DFT calculation (PBE) of crystalline RbSrTl2Ir at its relaxed geometry.

Computed properties:
For the magnetization, the calculation gives 0.0 μB per formula unit. The value obtained for the density of states at the Fermi level is 0.74 states/eV/atom. The energy relative to the elements comes out at -0.220 eV/f.u. The value obtained for the electronic total energy is -16.46 eV per cell.

a b c (Å): 5.441 5.441 5.757
angles (deg): 90.00 90.00 90.00
Space group P4/mmm (No. 123)
One atom of each set of equivalent atoms:
Rb: 0.000 0.000 0.000
Sr: 0.500 0.500 0.000
Tl: 0.000 0.500 0.500
Ir: 0.500 0.500 0.500

(6)
The following is a DFT calculation (PBE) of crystalline RbSr2YIr at its relaxed geometry.

Computed properties:
For the magnetization, the calculation gives 0.0 μB per formula unit. The value obtained for the density of states at the Fermi level is 0.90 states/eV/atom. The energy relative to the elements comes out at -0.445 eV/f.u. The value obtained for the electronic total energy is -20.10 eV per cell.

a b c (Å): 6.158 6.158 5.452
angles (deg): 90.00 90.00 90.00
Space group P4/mmm (No. 123)
One atom of each set of equivalent atoms:
Rb: 0.000 0.000 0.000
Sr: 0.000 0.500 0.500
Y: 0.500 0.500 0.000
Ir: 0.500 0.500 0.500

(7)
The following is a DFT calculation (PBE) of crystalline RbSr2ZnIr at its relaxed geometry.

Computed properties:
For the magnetization, the calculation gives 0.0 μB per formula unit. The value obtained for the density of states at the Fermi level is 0.60 states/eV/atom. The energy relative to the elements comes out at -0.008 eV/f.u. The value obtained for the electronic total energy is -14.47 eV per cell.

a b c (Å): 5.883 5.883 5.210
angles (deg): 90.00 90.00 90.00
Space group P4/mmm (No. 123)
One atom of each set of equivalent atoms:
Rb: 0.000 0.000 0.000
Sr: 0.000 0.500 0.500
Zn: 0.500 0.500 0.000
Ir: 0.500 0.500 0.500

(8)
The following is a DFT calculation (PBE) of crystalline RbSrZn2Ir at its relaxed geometry.

Computed properties:
For the magnetization, the calculation gives 0.0 μB per formula unit. The value obtained for the density of states at the Fermi level is 0.61 states/eV/atom. The energy relative to the elements comes out at -0.012 eV/f.u. The value obtained for the electronic total energy is -14.07 eV per cell.

a b c (Å): 5.121 5.121 5.558
angles (deg): 90.00 90.00 90.00
Space group P4/mmm (No. 123)
One atom of each set of equivalent atoms:
Rb: 0.000 0.000 0.000
Sr: 0.500 0.500 0.000
Zn: 0.000 0.500 0.500
Ir: 0.500 0.500 0.500

(9)
The following is a DFT calculation (PBE) of crystalline Rb3TaIr at its relaxed geometry.

Computed properties:
For the magnetization, the calculation gives 6.7 μB per formula unit. The value obtained for the density of states at the Fermi level is 1.83 states/eV/atom. The energy relative to the elements comes out at 11.097 eV/f.u. The value obtained for the electronic total energy is -12.52 eV per cell.

a b c (Å): 6.750 6.750 6.750
angles (deg): 90.00 90.00 90.00
Space group Pm-3m (No. 221)
One atom of each set of equivalent atoms:
Rb: 0.000 0.000 0.500
Ta: 0.000 0.000 0.000
Ir: 0.500 0.500 0.500

(10)
The following is a DFT calculation (PBE) of crystalline Rb2TaIr at its relaxed geometry.

Computed properties:
For the magnetization, the calculation gives 2.8 μB per formula unit. The value obtained for the density of states at the Fermi level is 2.41 states/eV/atom. The energy relative to the elements comes out at 9.071 eV/f.u. The excess energy over the best structure of this formula in the dataset is 4.38 eV per formula unit. The value obtained for the electronic total energy is -54.31 eV per cell.

a b c (Å): 7.878 7.878 7.878
angles (deg): 90.00 90.00 90.00
Space group Fm-3m (No. 225)
One atom of each set of equivalent atoms:
Rb: 0.250 0.250 0.250
Ta: 0.000 0.000 0.000
Ir: 0.000 0.000 0.500

(11)
The following is a DFT calculation (PBE) of crystalline RbTaIr3 at its relaxed geometry.

Computed properties:
For the magnetization, the calculation gives 0.0 μB per formula unit. The value obtained for the density of states at the Fermi level is 1.75 states/eV/atom. The energy relative to the elements comes out at 16.131 eV/f.u. The excess energy over the best structure of this formula in the dataset is 10.23 eV per formula unit. The value obtained for the electronic total energy is -23.27 eV per cell.

a b c (Å): 4.716 4.716 4.716
angles (deg): 90.00 90.00 90.00
Space group Pm-3m (No. 221)
One atom of each set of equivalent atoms:
Rb: 0.000 0.000 0.000
Ta: 0.500 0.500 0.500
Ir: 0.000 0.000 0.500

(12)
The following is a DFT calculation (PBE) of crystalline Rb2TaIr at its relaxed geometry.

Computed properties:
For the magnetization, the calculation gives 1.0 μB per formula unit. The value obtained for the density of states at the Fermi level is 1.61 states/eV/atom. The energy relative to the elements comes out at 4.693 eV/f.u. The excess energy over the best structure of this formula in the dataset is 0.00 eV per formula unit. The value obtained for the electronic total energy is -71.82 eV per cell.

a b c (Å): 12.868 12.868 4.772
angles (deg): 90.00 90.00 90.00
Space group I-42d (No. 122)
One atom of each set of equivalent atoms:
Rb: 0.087 0.750 0.125
Ta: 0.000 0.000 0.500
Ir: 0.000 0.000 0.000

(13)
The following is a DFT calculation (PBE) of crystalline RbTaIr3 at its relaxed geometry.

Computed properties:
For the magnetization, the calculation gives 0.0 μB per formula unit. The value obtained for the density of states at the Fermi level is 0.97 states/eV/atom. The energy relative to the elements comes out at 5.905 eV/f.u. The excess energy over the best structure of this formula in the dataset is 0.00 eV per formula unit. The value obtained for the electronic total energy is -33.50 eV per cell.

a b c (Å): 4.923 4.923 4.923
angles (deg): 90.00 90.00 90.00
Space group Pm-3m (No. 221)
One atom of each set of equivalent atoms:
Rb: 0.000 0.000 0.000
Ta: 0.500 0.500 0.500
Ir: 0.000 0.500 0.500

(14)
The following is a DFT calculation (PBE) of crystalline RbTaTcIr2 at its relaxed geometry.

Computed properties:
For the magnetization, the calculation gives 3.6 μB per formula unit. The value obtained for the density of states at the Fermi level is 1.04 states/eV/atom. The energy relative to the elements comes out at 10.539 eV/f.u. The value obtained for the electronic total energy is -30.37 eV per cell.

a b c (Å): 4.826 4.826 5.474
angles (deg): 90.00 90.00 90.00
Space group P4/mmm (No. 123)
One atom of each set of equivalent atoms:
Rb: 0.000 0.000 0.000
Ta: 0.000 0.000 0.500
Tc: 0.500 0.500 0.000
Ir: 0.000 0.500 0.500

(15)
The following is a DFT calculation (PBE) of crystalline Rb2TaVIr at its relaxed geometry.

Computed properties:
For the magnetization, the calculation gives 6.9 μB per formula unit. The value obtained for the density of states at the Fermi level is 1.70 states/eV/atom. The energy relative to the elements comes out at 9.844 eV/f.u. The value obtained for the electronic total energy is -21.92 eV per cell.

a b c (Å): 6.614 6.614 4.562
angles (deg): 90.00 90.00 90.00
Space group P4/mmm (No. 123)
One atom of each set of equivalent atoms:
Rb: 0.000 0.500 0.000
Ta: 0.000 0.000 0.500
V: 0.500 0.500 0.500
Ir: 0.500 0.500 0.000

(16)
The following is a DFT calculation (PBE) of crystalline Rb2TcIr2 at its relaxed geometry.

Computed properties:
For the magnetization, the calculation gives 0.0 μB per formula unit. The value obtained for the density of states at the Fermi level is 0.77 states/eV/atom. The energy relative to the elements comes out at 3.632 eV/f.u. The excess energy over the best structure of this formula in the dataset is 0.00 eV per formula unit. The value obtained for the electronic total energy is -52.78 eV per cell.

a b c (Å): 6.424 6.424 5.988
angles (deg): 90.00 90.00 90.00
Space group P4/mbm (No. 127)
One atom of each set of equivalent atoms:
Rb: 0.182 0.318 0.000
Tc: 0.000 0.000 0.500
Ir: 0.135 0.635 0.500

(17)
The following is a DFT calculation (PBE) of crystalline RbTcIr at its relaxed geometry.

Computed properties:
For the magnetization, the calculation gives 0.0 μB per formula unit. The value obtained for the density of states at the Fermi level is 0.73 states/eV/atom. The energy relative to the elements comes out at 1.770 eV/f.u. The excess energy over the best structure of this formula in the dataset is 0.41 eV per formula unit. The value obtained for the electronic total energy is -36.85 eV per cell.

a b c (Å): 4.318 4.730 11.560
angles (deg): 80.15 86.89 63.01
Space group P-1 (No. 2)
One atom of each set of equivalent atoms:
Rb: 0.230 0.135 0.191
Tc: 0.062 0.352 0.587
Ir: 0.340 0.817 0.507

(18)
The following is a DFT calculation (PBE) of crystalline Rb2TcIr2 at its relaxed geometry.

Computed properties:
For the magnetization, the calculation gives 5.0 μB per formula unit. The value obtained for the density of states at the Fermi level is 1.72 states/eV/atom. The energy relative to the elements comes out at 9.536 eV/f.u. The excess energy over the best structure of this formula in the dataset is 5.90 eV per formula unit. The value obtained for the electronic total energy is -40.97 eV per cell.

a b c (Å): 4.013 4.013 15.326
angles (deg): 90.00 90.00 90.00
Space group I4/mmm (No. 139)
One atom of each set of equivalent atoms:
Rb: 0.000 0.500 0.250
Tc: 0.000 0.000 0.000
Ir: 0.000 0.000 0.423

(19)
The following is a DFT calculation (PBE) of crystalline RbTc3Ir at its relaxed geometry.

Computed properties:
For the magnetization, the calculation gives 0.0 μB per formula unit. The value obtained for the density of states at the Fermi level is 1.40 states/eV/atom. The energy relative to the elements comes out at 17.119 eV/f.u. The excess energy over the best structure of this formula in the dataset is 8.36 eV per formula unit. The value obtained for the electronic total energy is -23.81 eV per cell.

a b c (Å): 4.551 4.551 4.551
angles (deg): 90.00 90.00 90.00
Space group Pm-3m (No. 221)
One atom of each set of equivalent atoms:
Rb: 0.000 0.000 0.000
Tc: 0.000 0.000 0.500
Ir: 0.500 0.500 0.500

(20)
The following is a DFT calculation (PBE) of crystalline RbTcIr at its relaxed geometry.

Computed properties:
For the magnetization, the calculation gives 0.0 μB per formula unit. The value obtained for the density of states at the Fermi level is 0.94 states/eV/atom. The energy relative to the elements comes out at 1.613 eV/f.u. The excess energy over the best structure of this formula in the dataset is 0.25 eV per formula unit. The value obtained for the electronic total energy is -37.16 eV per cell.

a b c (Å): 5.304 4.036 8.169
angles (deg): 90.00 99.78 90.00
Space group P2_1/m (No. 11)
One atom of each set of equivalent atoms:
Rb: 0.215 0.250 0.364
Tc: 0.370 0.250 0.936
Ir: 0.142 0.750 0.043